Entry 1:
! CeAsC, optimized geometry, DFT GGA-PBE; values from VASP
! space group: C2/m, No. 12
! ΔE_f: -0.4063 eV/atom
&SYSTEM
  ibrav = 0, nat = 6, ntyp = 3
/
ATOMIC_SPECIES
As 74.92 As.upf
Ce 140.12 Ce.upf
C 12.01 C.upf
CELL_PARAMETERS angstrom
-3.978 -1.441 -0.029
-1.010 -0.514 4.077
-3.382 6.304 1.022
ATOMIC_POSITIONS angstrom
As -4.534 1.132 3.023
As -3.836 3.217 2.047
Ce -6.296 3.657 3.727
Ce -2.074 0.692 1.343
C -3.597 -1.322 0.498
C -1.391 -0.633 3.550

Entry 2:
! Ce4AsC, optimized geometry, DFT GGA-PBE; values from VASP
! space group: C2/c, No. 15
! ΔE_f: -0.4730 eV/atom
&SYSTEM
  ibrav = 0, nat = 12, ntyp = 3
/
ATOMIC_SPECIES
Ce 140.12 Ce.upf
As 74.92 As.upf
C 12.01 C.upf
CELL_PARAMETERS angstrom
-5.866 0.655 -2.777
-0.741 -2.977 6.352
2.691 7.020 0.887
ATOMIC_POSITIONS angstrom
Ce -0.502 1.345 5.709
Ce -0.582 -1.577 5.252
Ce -0.057 2.126 2.210
Ce -0.673 4.325 4.091
Ce -3.414 3.353 -1.247
Ce -3.859 2.572 2.251
Ce -3.333 6.275 -0.790
Ce -3.243 0.373 0.371
As -1.977 0.012 3.092
As -1.939 4.685 1.370
C -4.470 1.164 -1.776
C 0.554 3.534 6.237

Entry 3:
! Ce8As2C3, optimized geometry, DFT GGA-PBE; values from VASP
! space group: C2/m, No. 12
! ΔE_f: -0.3999 eV/atom
&SYSTEM
  ibrav = 0, nat = 13, ntyp = 3
/
ATOMIC_SPECIES
Ce 140.12 Ce.upf
As 74.92 As.upf
C 12.01 C.upf
CELL_PARAMETERS angstrom
6.418 0.000 0.395
0.000 7.041 0.000
-2.163 -3.521 6.860
ATOMIC_POSITIONS angstrom
Ce 5.547 3.521 1.812
Ce -1.291 0.000 5.443
Ce 5.250 0.000 1.769
Ce -0.994 3.521 5.487
Ce 2.189 1.702 5.778
Ce 2.189 -1.702 5.778
Ce 2.066 5.223 1.477
Ce 2.066 1.819 1.477
As 0.958 0.000 3.538
As 3.297 3.521 3.718
C 3.209 0.000 0.198
C 0.000 1.675 0.000
C 0.000 5.367 0.000

Entry 4:
! Ce2AsC, optimized geometry, DFT GGA-PBE; values from VASP
! space group: P2/c, No. 13
! ΔE_f: -0.6420 eV/atom
&SYSTEM
  ibrav = 0, nat = 16, ntyp = 3
/
ATOMIC_SPECIES
Ce 140.12 Ce.upf
As 74.92 As.upf
C 12.01 C.upf
CELL_PARAMETERS angstrom
5.816 0.000 0.000
0.000 5.805 0.149
0.000 -0.571 10.742
ATOMIC_POSITIONS angstrom
Ce 4.424 5.240 9.824
Ce 1.392 -0.006 1.067
Ce 4.424 2.611 6.512
Ce 1.392 2.623 4.379
Ce 4.474 2.708 1.691
Ce 1.343 2.526 9.200
Ce 4.474 -0.091 3.754
Ce 1.343 5.325 7.137
As 1.559 5.533 4.175
As 4.257 -0.299 6.716
As 1.559 2.888 1.420
As 4.257 2.345 9.471
C 1.027 2.908 6.792
C 4.789 2.326 4.099
C 1.027 4.943 9.545
C 4.789 0.291 1.346

Entry 5:
! Ce5As2C, optimized geometry, DFT GGA-PBE; values from VASP
! space group: Cmcm, No. 63
! ΔE_f: -0.5123 eV/atom
&SYSTEM
  ibrav = 0, nat = 16, ntyp = 3
/
ATOMIC_SPECIES
Ce 140.12 Ce.upf
As 74.92 As.upf
C 12.01 C.upf
CELL_PARAMETERS angstrom
5.693 0.000 0.000
-2.846 6.089 0.000
0.000 0.000 12.696
ATOMIC_POSITIONS angstrom
Ce 2.846 5.409 10.861
Ce 2.846 5.409 8.183
Ce 0.000 4.291 5.075
Ce 0.000 4.291 1.273
Ce 2.846 2.518 3.174
Ce 0.000 3.571 9.522
Ce 2.846 1.798 7.621
Ce 2.846 1.798 11.423
Ce 0.000 0.680 1.835
Ce 0.000 0.680 4.513
As 2.846 4.016 5.640
As 2.846 4.016 0.708
As 0.000 2.072 7.056
As 0.000 2.072 11.988
C 2.846 3.300 9.522
C 0.000 2.789 3.174

Entry 6:
! Ce6AsC2Cl3, optimized geometry, DFT GGA-PBE; values from VASP
! space group: C2/m, No. 12
! raw formation energy: -1.107 eV per atom
&SYSTEM
  ibrav = 0, nat = 12, ntyp = 4
/
ATOMIC_SPECIES
Ce 140.12 Ce.upf
As 74.92 As.upf
C 12.01 C.upf
Cl 35.45 Cl.upf
CELL_PARAMETERS angstrom
-2.211 1.101 2.940
-6.150 -4.862 -2.804
6.037 -5.449 4.073
ATOMIC_POSITIONS angstrom
Ce -2.078 -7.436 1.222
Ce -2.760 -3.903 1.893
Ce -0.246 -1.775 2.987
Ce -1.394 -1.505 -0.485
Ce -0.929 -7.706 4.694
Ce 0.437 -5.308 2.316
As -1.105 0.550 1.470
C -1.938 -5.882 3.252
C -0.386 -3.329 0.956
Cl -4.180 -1.881 0.068
Cl 1.219 -3.597 4.770
Cl -3.542 -5.614 -0.562

Entry 7:
! Ce4AsCS2, optimized geometry, DFT GGA-PBE; values from VASP
! space group: Cmcm, No. 63
! raw formation energy: -1.281 eV per atom
&SYSTEM
  ibrav = 0, nat = 16, ntyp = 4
/
ATOMIC_SPECIES
Ce 140.12 Ce.upf
As 74.92 As.upf
C 12.01 C.upf
S 32.06 S.upf
CELL_PARAMETERS angstrom
-3.482 2.043 0.321
-0.145 -3.297 -6.132
-5.942 -11.084 6.100
ATOMIC_POSITIONS angstrom
Ce -1.758 -2.613 -2.438
Ce -6.332 -6.967 1.210
Ce -7.811 -9.725 2.727
Ce -3.237 -5.371 -0.920
Ce -2.971 -5.542 3.050
Ce 0.000 0.000 0.000
Ce -6.103 -10.300 -0.639
Ce -3.466 -2.038 0.928
As -4.868 -8.809 3.274
As -4.701 -3.529 -2.985
C -7.494 -8.855 0.631
C -2.075 -3.482 -0.342
S -4.690 -7.843 -0.944
S -2.599 -0.241 -1.108
S -4.879 -4.495 1.233
S -6.970 -12.097 1.397

Entry 8:
! AsCCl2, optimized geometry, DFT GGA-PBE; values from VASP
! relative energy among the computed polymorphs: 273 meV per atom
! space group: Fd-3m, No. 227
! raw formation energy: 1.538 eV per atom
&SYSTEM
  ibrav = 0, nat = 8, ntyp = 3
/
ATOMIC_SPECIES
As 74.92 As.upf
C 12.01 C.upf
Cl 35.45 Cl.upf
CELL_PARAMETERS angstrom
6.351 0.000 0.000
0.000 6.351 0.000
3.176 3.176 4.493
ATOMIC_POSITIONS angstrom
As 0.000 0.000 0.000
As 6.351 3.176 2.247
C 3.176 3.176 0.000
C 3.176 6.351 2.247
Cl 3.171 1.588 1.123
Cl 3.180 4.763 1.123
Cl 4.763 6.355 3.370
Cl 7.939 6.347 3.370

| no. | volume (Å³ per cell) |
| --- | --- |
| 1 | 122.96 |
| 2 | 280.84 |
| 3 | 316.05 |
| 4 | 363.16 |
| 5 | 440.02 |
| 6 | 271.31 |
| 7 | 377.19 |
| 8 | 181.25 |